DFT (PBE) results for crystalline Pm5HgSe5 at its relaxed geometry.

Values from the calculation:
SG: C2/m (12)
E_form (uncorrected) (meV per atom): -1587
Total magnetic moment (μB/f.u.): 0.00

Unit cell a=7.305 b=7.305 c=8.525 alpha=106.80 beta=106.80 gamma=48.40
Fractional positions:
Pm1 0.000 0.000 0.000
Pm2 0.331 0.331 0.655
Pm3 0.334 0.334 0.177
Pm4 0.666 0.666 0.823
Pm5 0.669 0.669 0.345
Hg1 0.500 0.500 0.000
Se1 0.168 0.168 0.333
Se2 0.171 0.171 0.839
Se3 0.500 0.500 0.500
Se4 0.829 0.829 0.161
Se5 0.832 0.832 0.667